# 1
! Li3NF (GGA-PBE, optimized geometry); values from VASP
&SYSTEM
  ibrav = 0, nat = 5, ntyp = 3
/
ATOMIC_SPECIES
Li 6.94 Li.upf
N 14.01 N.upf
F 19.00 F.upf
CELL_PARAMETERS angstrom
3.611 0.000 0.000
0.000 3.611 0.000
0.000 0.000 3.611
ATOMIC_POSITIONS crystal
Li 0.000 0.000 0.500
Li 0.000 0.500 0.000
Li 0.500 0.000 0.000
N 0.500 0.500 0.500
F 0.000 0.000 0.000
! uncorrected formation energy = -974 meV/atom
! offset from the most stable computed form = 0 meV per atom

# 2
! Pr12Sm3Th (GGA-PBE, optimized geometry); values from VASP
&SYSTEM
  ibrav = 0, nat = 16, ntyp = 3
/
ATOMIC_SPECIES
Pr 140.91 Pr.upf
Sm 150.36 Sm.upf
Th 232.04 Th.upf
CELL_PARAMETERS angstrom
5.220 0.000 0.000
0.000 5.220 0.000
0.000 0.000 20.870
ATOMIC_POSITIONS crystal
Pr 0.000 0.000 0.000
Pr 0.000 0.000 0.249
Pr 0.000 0.000 0.500
Pr 0.000 0.000 0.751
Pr 0.000 0.500 0.126
Pr 0.000 0.500 0.378
Pr 0.000 0.500 0.622
Pr 0.000 0.500 0.874
Pr 0.500 0.000 0.126
Pr 0.500 0.000 0.378
Pr 0.500 0.000 0.622
Pr 0.500 0.000 0.874
Sm 0.500 0.500 0.000
Sm 0.500 0.500 0.250
Sm 0.500 0.500 0.750
Th 0.500 0.500 0.500
! VASP energy = -4.909 eV/atom

# 3
! Ba4Np3N10 (GGA-PBE, optimized geometry); values from VASP
&SYSTEM
  ibrav = 0, nat = 17, ntyp = 3
/
ATOMIC_SPECIES
Ba 137.33 Ba.upf
Np 237.00 Np.upf
N 14.01 N.upf
CELL_PARAMETERS angstrom
-2.160 2.160 15.478
2.160 -2.160 15.478
2.160 2.160 -15.478
ATOMIC_POSITIONS crystal
Ba 0.069 0.069 0.000
Ba 0.203 0.203 0.000
Ba 0.797 0.797 0.000
Ba 0.931 0.931 0.000
Np 0.362 0.362 0.000
Np 0.500 0.500 0.000
Np 0.638 0.638 0.000
N 0.000 0.500 0.500
N 0.138 0.638 0.500
N 0.298 0.298 0.000
N 0.362 0.862 0.500
N 0.432 0.432 0.000
N 0.500 0.000 0.500
N 0.568 0.568 0.000
N 0.638 0.138 0.500
N 0.702 0.702 0.000
N 0.862 0.362 0.500
! uncorrected formation energy = -866 meV/atom

# 4
! Ac5Cd4In (GGA-PBE, optimized geometry); values from VASP
&SYSTEM
  ibrav = 0, nat = 10, ntyp = 3
/
ATOMIC_SPECIES
Ac 227.00 Ac.upf
Cd 112.41 Cd.upf
In 114.82 In.upf
CELL_PARAMETERS angstrom
4.081 0.000 0.000
0.000 4.081 0.000
0.000 0.000 20.438
ATOMIC_POSITIONS crystal
Ac 0.000 0.000 0.000
Ac 0.000 0.000 0.199
Ac 0.000 0.000 0.400
Ac 0.000 0.000 0.600
Ac 0.000 0.000 0.801
Cd 0.500 0.500 0.100
Cd 0.500 0.500 0.299
Cd 0.500 0.500 0.701
Cd 0.500 0.500 0.900
In 0.500 0.500 0.500
! VASP energy = -3.011 eV/atom

# 5
! TbMnNbSi2 (GGA-PBE, optimized geometry); values from VASP
&SYSTEM
  ibrav = 0, nat = 5, ntyp = 4
/
ATOMIC_SPECIES
Tb 158.93 Tb.upf
Mn 54.94 Mn.upf
Nb 92.91 Nb.upf
Si 28.09 Si.upf
CELL_PARAMETERS angstrom
-1.975 1.975 5.623
1.975 -1.975 5.623
1.975 1.975 -5.623
ATOMIC_POSITIONS crystal
Tb 0.000 0.000 0.000
Mn 0.250 0.750 0.500
Nb 0.750 0.250 0.500
Si 0.393 0.393 0.000
Si 0.607 0.607 0.000
! uncorrected formation energy = -571 meV/atom

# 6
! La2BiPt (GGA-PBE, optimized geometry); values from VASP
&SYSTEM
  ibrav = 0, nat = 8, ntyp = 3
/
ATOMIC_SPECIES
La 138.91 La.upf
Bi 208.98 Bi.upf
Pt 195.08 Pt.upf
CELL_PARAMETERS angstrom
-4.086 4.086 3.923
4.086 -4.086 3.923
4.086 4.086 -3.923
ATOMIC_POSITIONS crystal
La 0.085 0.625 0.960
La 0.375 0.335 0.460
La 0.665 0.125 0.040
La 0.875 0.915 0.540
Bi 0.250 0.750 0.500
Bi 0.500 0.500 0.000
Pt 0.000 0.000 0.000
Pt 0.750 0.250 0.500
! VASP energy = -5.728 eV/atom

# 7
! KSi2Rh2 (GGA-PBE, optimized geometry); values from VASP
&SYSTEM
  ibrav = 0, nat = 5, ntyp = 3
/
ATOMIC_SPECIES
K 39.10 K.upf
Si 28.09 Si.upf
Rh 102.91 Rh.upf
CELL_PARAMETERS angstrom
-1.963 1.963 6.455
1.963 -1.963 6.455
1.963 1.963 -6.455
ATOMIC_POSITIONS crystal
K 0.000 0.000 0.000
Si 0.250 0.750 0.500
Si 0.750 0.250 0.500
Rh 0.353 0.353 0.000
Rh 0.647 0.647 0.000
! uncorrected formation energy = -330 meV/atom
! offset from the most stable computed form = 219 meV per atom

# 8
! Pr3YTl2 (GGA-PBE, optimized geometry); values from VASP
&SYSTEM
  ibrav = 0, nat = 12, ntyp = 3
/
ATOMIC_SPECIES
Pr 140.91 Pr.upf
Y 88.91 Y.upf
Tl 204.38 Tl.upf
CELL_PARAMETERS angstrom
5.272 0.000 0.000
0.000 10.385 0.000
0.000 0.000 6.920
ATOMIC_POSITIONS crystal
Pr 0.000 0.041 0.000
Pr 0.000 0.321 0.371
Pr 0.000 0.679 0.871
Pr 0.000 0.959 0.500
Pr 0.500 0.189 0.737
Pr 0.500 0.811 0.237
Y 0.500 0.458 0.099
Y 0.500 0.542 0.599
Tl 0.000 0.367 0.850
Tl 0.000 0.633 0.350
Tl 0.500 0.138 0.258
Tl 0.500 0.862 0.758
! offset from the most stable computed form = 0 meV per atom

# 9
! TlRhO4 (GGA-PBE, optimized geometry); values from VASP
&SYSTEM
  ibrav = 0, nat = 12, ntyp = 3
/
ATOMIC_SPECIES
Tl 204.38 Tl.upf
Rh 102.91 Rh.upf
O 16.00 O.upf
CELL_PARAMETERS angstrom
5.920 0.000 0.000
0.000 4.933 0.000
-1.639 0.000 5.267
ATOMIC_POSITIONS crystal
Tl 0.000 0.000 0.000
Tl 0.000 0.500 0.500
Rh 0.500 0.000 0.500
Rh 0.500 0.500 0.000
O 0.170 0.126 0.393
O 0.170 0.374 0.893
O 0.392 0.695 0.669
O 0.392 0.805 0.169
O 0.608 0.195 0.831
O 0.608 0.305 0.331
O 0.830 0.626 0.107
O 0.830 0.874 0.607
! uncorrected formation energy = -535 meV/atom
! offset from the most stable computed form = 0 meV per atom

# 10
! Th2Ge3PdPt4 (GGA-PBE, optimized geometry); values from VASP
&SYSTEM
  ibrav = 0, nat = 10, ntyp = 4
/
ATOMIC_SPECIES
Th 232.04 Th.upf
Ge 72.64 Ge.upf
Pd 106.42 Pd.upf
Pt 195.08 Pt.upf
CELL_PARAMETERS angstrom
4.268 0.000 0.000
0.000 4.268 0.000
0.000 0.000 10.686
ATOMIC_POSITIONS crystal
Th 0.000 0.500 0.247
Th 0.500 0.000 0.753
Ge 0.000 0.000 0.000
Ge 0.000 0.500 0.627
Ge 0.500 0.000 0.373
Pd 0.500 0.500 0.000
Pt 0.000 0.000 0.500
Pt 0.000 0.500 0.853
Pt 0.500 0.000 0.147
Pt 0.500 0.500 0.500
! VASP energy = -6.669 eV/atom

# 11
! La3Sm6Y2Ho (GGA-PBE, optimized geometry); values from VASP
&SYSTEM
  ibrav = 0, nat = 12, ntyp = 4
/
ATOMIC_SPECIES
La 138.91 La.upf
Sm 150.36 Sm.upf
Y 88.91 Y.upf
Ho 164.93 Ho.upf
CELL_PARAMETERS angstrom
3.154 -5.466 0.000
3.154 5.466 0.000
-2.109 0.000 11.886
ATOMIC_POSITIONS crystal
La 0.000 0.000 0.000
La 0.333 0.667 0.000
La 0.667 0.333 0.000
Sm 0.086 0.419 0.256
Sm 0.249 0.249 0.744
Sm 0.419 0.086 0.256
Sm 0.581 0.914 0.744
Sm 0.751 0.751 0.256
Sm 0.914 0.581 0.744
Y 0.167 0.833 0.500
Y 0.833 0.167 0.500
Ho 0.500 0.500 0.500
! VASP energy = -5.030 eV/atom

# 12
! Sr2SeCl (GGA-PBE, optimized geometry); values from VASP
&SYSTEM
  ibrav = 0, nat = 4, ntyp = 3
/
ATOMIC_SPECIES
Sr 87.62 Sr.upf
Se 78.96 Se.upf
Cl 35.45 Cl.upf
CELL_PARAMETERS angstrom
-1.999 2.135 7.416
1.999 -2.135 7.416
1.999 2.135 -7.416
ATOMIC_POSITIONS crystal
Sr 0.000 0.000 0.000
Sr 0.748 0.248 0.500
Se 0.159 0.659 0.500
Cl 0.430 0.430 0.000
! uncorrected formation energy = -1707 meV/atom
! offset from the most stable computed form = 130 meV per atom

Number 1: volume 47.10 Å³/cell. Number 2: volume 568.63 Å³/cell. Number 3: volume 288.83 Å³/cell. Number 4: volume 340.35 Å³/cell. Number 5: volume 87.73 Å³/cell. Number 6: volume 262.07 Å³/cell. Number 7: volume 99.45 Å³/cell. Number 8: volume 378.92 Å³/cell. Number 9: volume 153.81 Å³/cell. Number 10: volume 194.65 Å³/cell. Number 11: volume 409.79 Å³/cell. Number 12: volume 126.60 Å³/cell.